The following is a meta-GGA SCAN calculation of a PBEsol-optimized structure of La2RhSe, from Alexandria via LeMat-Bulk.

Geometry as POSCAR:
```
La2RhSe
1.0
-3.015 1.454 -1.262
-0.082 -2.439 -2.615
-3.941 -4.457 4.279
La Rh Se
2 1 1
direct
0.000 0.000 0.766
0.000 0.000 0.234
0.500 0.500 0.000
0.500 0.500 0.500
```

## Properties
Its total energy is -36.3174 eV/atom. The total magnetic moment comes out at 0.00 μB per cell. As for the uncorrected formation energy: -30.03 kcal/mol of atoms. As for the space-group type: No. 123. The value obtained for the density of states at the Fermi level is 2.02 states/eV/cell.